# 1
A geometry-optimized Pm5Ag2Sn4 structure, computed with PBE.

Lattice parameters (Å, degrees): 10.9472 10.9472 7.5994 110.20 110.20 23.29
Atoms (fractional coordinates):
Pm  0.0000  0.0000  0.0000
Pm  0.3406  0.3406  0.0851
Pm  0.3405  0.3405  0.5951
Pm  0.6595  0.6595  0.4049
Pm  0.6594  0.6594  0.9149
Ag  0.0718  0.0718  0.5723
Ag  0.9282  0.9282  0.4277
Sn  0.2134  0.2134  0.7136
Sn  0.5001  0.5001  0.3002
Sn  0.4999  0.4999  0.6998
Sn  0.7866  0.7866  0.2864

Computed properties:
total moment = 1.3 μB per formula unit
crystal system = monoclinic
formation energy = -361 meV/atom

---

# 2
A geometry-optimized Pm4Ag3Sn structure, computed with PBE.

Lattice parameters (Å, degrees): 8.4438 8.4438 8.4438 143.31 143.31 52.86
Atoms (fractional coordinates):
Pm  0.1272  0.6272  0.5000
Pm  0.3728  0.8728  0.5000
Pm  0.6272  0.1272  0.5000
Pm  0.8728  0.3728  0.5000
Ag  0.0000  0.0000  0.0000
Ag  0.2478  0.2478  0.0000
Ag  0.7522  0.7522  0.0000
Sn  0.5000  0.5000  0.0000

Computed properties:
total moment = 0.6 μB per formula unit
crystal system = tetragonal
formation energy = -386 meV/atom

---

# 3
A geometry-optimized PmAgSn structure, computed with PBE.

Lattice parameters (Å, degrees): 4.7990 4.7990 7.6269 90.00 90.00 120.00
Atoms (fractional coordinates):
Pm  0.0000  0.0000  0.0000
Pm  0.0000  0.0000  0.5000
Ag  0.3333  0.6667  0.2500
Ag  0.6667  0.3333  0.7500
Sn  0.3333  0.6667  0.7500
Sn  0.6667  0.3333  0.2500

Computed properties:
total moment = 0.0 μB per formula unit
energy relative to the lowest polymorph listed for this composition = 0.0000 eV per atom
crystal system = hexagonal
formation energy = -584 meV/atom

---

# 4
A geometry-optimized Pm3Ag2Sn structure, computed with PBE.

Lattice parameters (Å, degrees): 8.5070 8.5070 3.7668 90.00 90.00 143.58
Atoms (fractional coordinates):
Pm  0.0000  0.0000  0.0000
Pm  0.3317  0.6683  0.0000
Pm  0.6683  0.3317  0.0000
Ag  0.1714  0.8286  0.5000
Ag  0.8286  0.1714  0.5000
Sn  0.5000  0.5000  0.5000

Computed properties:
total moment = 0.0 μB per formula unit
energy relative to the lowest polymorph listed for this composition = 0.0000 eV per atom
crystal system = orthorhombic
formation energy = -411 meV/atom

---

# 5
A geometry-optimized Pm3Ag4Sn4 structure, computed with PBE.

Lattice parameters (Å, degrees): 8.9277 8.9277 8.9277 149.73 131.00 58.69
Atoms (fractional coordinates):
Pm  0.0000  0.0000  0.0000
Pm  0.3716  0.8716  0.5000
Pm  0.6284  0.1284  0.5000
Ag  0.0249  0.3298  0.6951
Ag  0.3653  0.6702  0.6951
Ag  0.6347  0.3298  0.3049
Ag  0.9751  0.6702  0.3049
Sn  0.2159  0.2159  0.0000
Sn  0.3047  0.5000  0.8047
Sn  0.6953  0.5000  0.1953
Sn  0.7841  0.7841  0.0000

Computed properties:
total moment = 0.0 μB per formula unit
crystal system = orthorhombic
formation energy = -540 meV/atom

---

# 6
A geometry-optimized Pm3Ag2Sn6 structure, computed with PBE.

Lattice parameters (Å, degrees): 15.2616 15.2616 15.2616 163.01 163.01 24.12
Atoms (fractional coordinates):
Pm  0.0000  0.0000  0.0000
Pm  0.1625  0.1625  0.0000
Pm  0.8375  0.8375  0.0000
Ag  0.3575  0.3575  0.0000
Ag  0.6425  0.6425  0.0000
Sn  0.0787  0.5787  0.5000
Sn  0.2663  0.2663  0.0000
Sn  0.4213  0.9213  0.5000
Sn  0.5787  0.0787  0.5000
Sn  0.7337  0.7337  0.0000
Sn  0.9213  0.4213  0.5000

Computed properties:
total moment = 0.0 μB per formula unit
crystal system = tetragonal
formation energy = -461 meV/atom

---

# 7
A geometry-optimized PmAg3Sn3 structure, computed with PBE.

Lattice parameters (Å, degrees): 7.5238 7.5238 7.5238 90.00 90.00 90.00
Atoms (fractional coordinates):
Pm  0.0000  0.0000  0.0000
Pm  0.5000  0.5000  0.5000
Ag  0.0000  0.2500  0.5000
Ag  0.0000  0.7500  0.5000
Ag  0.2500  0.5000  0.0000
Ag  0.5000  0.0000  0.2500
Ag  0.5000  0.0000  0.7500
Ag  0.7500  0.5000  0.0000
Sn  0.0000  0.5000  0.2500
Sn  0.0000  0.5000  0.7500
Sn  0.2500  0.0000  0.5000
Sn  0.5000  0.2500  0.0000
Sn  0.5000  0.7500  0.0000
Sn  0.7500  0.0000  0.5000

Computed properties:
total moment = 0.0 μB per formula unit
energy relative to the lowest polymorph listed for this composition = 0.3943 eV per atom
crystal system = cubic
formation energy = 308 meV/atom

---

# 8
A geometry-optimized Pm5AgSn structure, computed with PBE.

Lattice parameters (Å, degrees): 6.3785 6.3785 10.8127 90.71 90.71 91.86
Atoms (fractional coordinates):
Pm  0.0380  0.6081  0.1624
Pm  0.1384  0.8616  0.7500
Pm  0.2366  0.4361  0.4981
Pm  0.3919  0.9620  0.3376
Pm  0.4361  0.2366  0.9981
Pm  0.5639  0.7634  0.0019
Pm  0.6081  0.0380  0.6624
Pm  0.7634  0.5639  0.5019
Pm  0.8616  0.1384  0.2500
Pm  0.9620  0.3919  0.8376
Ag  0.0000  0.0000  0.0000
Ag  0.0000  0.0000  0.5000
Sn  0.4904  0.5096  0.7500
Sn  0.5096  0.4904  0.2500

Computed properties:
total moment = 0.0 μB per formula unit
crystal system = monoclinic
formation energy = -171 meV/atom

---

# 9
A geometry-optimized Pm7AgSn5 structure, computed with PBE.

Lattice parameters (Å, degrees): 8.4383 8.4383 8.4383 134.97 96.37 100.50
Atoms (fractional coordinates):
Pm  0.0000  0.0000  0.0000
Pm  0.3095  0.6395  0.6699
Pm  0.3898  0.3898  0.0000
Pm  0.4581  0.1239  0.3343
Pm  0.7896  0.1239  0.6657
Pm  0.8634  0.3634  0.5000
Pm  0.9696  0.6395  0.3301
Ag  0.6950  0.6950  0.0000
Sn  0.1275  0.1340  0.4914
Sn  0.1275  0.6362  0.9936
Sn  0.3790  0.8790  0.5000
Sn  0.6426  0.1340  0.0064
Sn  0.6426  0.6362  0.5086

Computed properties:
total moment = 0.0 μB per formula unit
crystal system = orthorhombic
formation energy = -435 meV/atom

---

# 10
A geometry-optimized Pm2Ag2Sn structure, computed with PBE.

Lattice parameters (Å, degrees): 6.0527 6.0527 8.3304 103.53 103.53 59.76
Atoms (fractional coordinates):
Pm  0.0172  0.2904  0.1489
Pm  0.2904  0.0172  0.6489
Pm  0.7096  0.9828  0.3511
Pm  0.9828  0.7096  0.8511
Ag  0.2347  0.4989  0.5096
Ag  0.4989  0.2347  0.0096
Ag  0.5011  0.7653  0.9904
Ag  0.7653  0.5011  0.4904
Sn  0.3031  0.6969  0.2500
Sn  0.6969  0.3031  0.7500

Computed properties:
total moment = 0.0 μB per formula unit
energy relative to the lowest polymorph listed for this composition = 0.0000 eV per atom
crystal system = monoclinic
formation energy = -412 meV/atom

---

# 11
A geometry-optimized PmAg3Sn2 structure, computed with PBE.

Lattice parameters (Å, degrees): 8.9488 8.9488 7.2552 108.64 108.64 29.81
Atoms (fractional coordinates):
Pm  0.1205  0.1205  0.1660
Pm  0.8795  0.8795  0.8340
Ag  0.0712  0.0712  0.6717
Ag  0.3052  0.3052  0.0940
Ag  0.3659  0.3659  0.5090
Ag  0.6341  0.6341  0.4910
Ag  0.6948  0.6948  0.9060
Ag  0.9288  0.9288  0.3283
Sn  0.2353  0.2353  0.6853
Sn  0.4817  0.4817  0.1866
Sn  0.5183  0.5183  0.8134
Sn  0.7647  0.7647  0.3147

Computed properties:
total moment = 0.0 μB per formula unit
crystal system = monoclinic
formation energy = -307 meV/atom

---

# 12
A geometry-optimized Pm4AgSn3 structure, computed with PBE.

Lattice parameters (Å, degrees): 4.4604 4.4946 11.6786 90.00 90.00 90.00
Atoms (fractional coordinates):
Pm  0.0000  0.0000  0.0000
Pm  0.0000  0.5000  0.4939
Pm  0.5000  0.0000  0.7219
Pm  0.5000  0.5000  0.2235
Ag  0.0000  0.0000  0.2804
Sn  0.0000  0.5000  0.7683
Sn  0.5000  0.0000  0.4430
Sn  0.5000  0.5000  0.9495

Computed properties:
total moment = 0.0 μB per formula unit
crystal system = orthorhombic
formation energy = -630 meV/atom

---

Copy entry 6 word for word.
A geometry-optimized Pm3Ag2Sn6 structure, computed with PBE.

Lattice parameters (Å, degrees): 15.2616 15.2616 15.2616 163.01 163.01 24.12
Atoms (fractional coordinates):
Pm  0.0000  0.0000  0.0000
Pm  0.1625  0.1625  0.0000
Pm  0.8375  0.8375  0.0000
Ag  0.3575  0.3575  0.0000
Ag  0.6425  0.6425  0.0000
Sn  0.0787  0.5787  0.5000
Sn  0.2663  0.2663  0.0000
Sn  0.4213  0.9213  0.5000
Sn  0.5787  0.0787  0.5000
Sn  0.7337  0.7337  0.0000
Sn  0.9213  0.4213  0.5000

Computed properties:
total moment = 0.0 μB per formula unit
crystal system = tetragonal
formation energy = -461 meV/atom

---

What is the total moment in the first record?
1.3 μB per formula unit

---

Among the records above, which one has the lowest formation energy?
Pm4AgSn3